Entry 1:
# YThAl2

A geometry-optimized YThAl2 structure (PBE-GGA, the Alexandria database).

Formation energy ... -0.359 eV/atom
Electronic total energy ... -5.7010 eV/atom
Calculated volume ... 209.6 Å³/cell
Mass density ... 5.9 g cm⁻³
ΔE to the lowest computed polymorph ... 3 meV/atom

a b c (Å): 4.1884 6.0213 8.3125
angles (deg): 90.00 90.00 90.00
Positions (direct):
1 Y 0.0000 0.1332 0.0000
2 Y 0.0000 0.8668 0.5000
3 Th 0.5000 0.3663 0.6424
4 Th 0.5000 0.6337 0.1424
5 Al 0.0000 0.3742 0.3561
6 Al 0.0000 0.6258 0.8561
7 Al 0.5000 0.1238 0.2860
8 Al 0.5000 0.8762 0.7860

Entry 2:
# Pm2Y2Cd

A geometry-optimized Pm2Y2Cd structure (PBE-GGA, the Alexandria database).

Formation energy ... -0.125 eV/atom
Electronic total energy ... -4.7941 eV/atom
Calculated volume ... 154.3 Å³/cell
Mass density ... 6.2 g cm⁻³
ΔE to the lowest computed polymorph ... 0 meV/atom

a b c (Å): 12.0074 12.0074 12.0074
angles (deg): 162.63 162.63 24.67
Positions (direct):
1 Pm 0.1948 0.1948 0.0000
2 Pm 0.8052 0.8052 0.0000
3 Y 0.4138 0.4138 0.0000
4 Y 0.5862 0.5862 0.0000
5 Cd 0.0000 0.0000 0.0000

Entry 3:
# AcPr3Dy4

A geometry-optimized AcPr3Dy4 structure (PBE-GGA, the Alexandria database).

Formation energy ... 0.153 eV/atom
Electronic total energy ... -4.4541 eV/atom
Calculated volume ... 280.5 Å³/cell
Mass density ... 7.7 g cm⁻³

a b c (Å): 9.1345 9.1345 9.1345
angles (deg): 157.80 98.94 85.34
Positions (direct):
1 Ac 0.0000 0.0000 0.0000
2 Pr 0.2432 0.7432 0.5000
3 Pr 0.5000 0.5000 0.0000
4 Pr 0.7568 0.2568 0.5000
5 Dy 0.1171 0.8638 0.2533
6 Dy 0.3895 0.1362 0.2533
7 Dy 0.6105 0.8638 0.7467
8 Dy 0.8829 0.1362 0.7467

Entry 4:
# AcLaSm2Er4

A geometry-optimized AcLaSm2Er4 structure (PBE-GGA, the Alexandria database).

Formation energy ... 0.039 eV/atom
Electronic total energy ... -4.5516 eV/atom
Calculated volume ... 541.0 Å³/cell
Mass density ... 8.2 g cm⁻³

a b c (Å): 7.3475 7.3723 9.9875
angles (deg): 90.00 90.04 90.10
Positions (direct):
1 Ac 0.0000 0.0000 0.0000
2 Ac 0.0000 0.5000 0.5000
3 La 0.0000 0.0000 0.5000
4 La 0.5000 0.0000 0.5000
5 Sm 0.0000 0.5000 0.0000
6 Sm 0.5000 0.0000 0.0000
7 Sm 0.5000 0.5000 0.0000
8 Sm 0.5000 0.5000 0.5000
9 Er 0.2560 0.2525 0.7524
10 Er 0.2562 0.2527 0.2477
11 Er 0.2559 0.7476 0.2477
12 Er 0.2558 0.7475 0.7524
13 Er 0.7442 0.2525 0.2476
14 Er 0.7441 0.2524 0.7523
15 Er 0.7438 0.7473 0.7523
16 Er 0.7440 0.7475 0.2476

Entry 5:
# Pa3Co8Pt

A geometry-optimized Pa3Co8Pt structure (PBE-GGA, the Alexandria database).

Formation energy ... -0.349 eV/atom
Electronic total energy ... -7.9637 eV/atom
Calculated volume ... 169.9 Å³/cell
Mass density ... 13.3 g cm⁻³

a b c (Å): 8.6258 8.6258 8.6258
angles (deg): 33.06 33.06 33.06
Positions (direct):
1 Pa 0.0000 0.0000 0.0000
2 Pa 0.1299 0.1299 0.1299
3 Pa 0.5178 0.5178 0.5178
4 Co 0.0682 0.5697 0.5697
5 Co 0.0709 0.0709 0.5661
6 Co 0.0709 0.5661 0.0709
7 Co 0.3196 0.3196 0.3196
8 Co 0.5661 0.0709 0.0709
9 Co 0.5697 0.0682 0.5697
10 Co 0.5697 0.5697 0.0682
11 Co 0.8198 0.8198 0.8198
12 Pt 0.6370 0.6370 0.6370

Entry 6:
# CaBe2O

A geometry-optimized CaBe2O structure (PBE-GGA, the Alexandria database).

Energy relative to the elements, uncorrected ... -1.82 eV per formula unit
Electronic total energy ... -4.0590 eV/atom
Calculated volume ... 122.4 Å³/cell
Mass density ... 2.0 g cm⁻³

a b c (Å): 5.5744 5.5744 5.5744
angles (deg): 120.06 120.06 89.89
Positions (direct):
1 Ca 0.3750 0.6250 0.7500
2 Ca 0.6250 0.3750 0.2500
3 Be 0.0000 0.0000 0.0000
4 Be 0.0000 0.0000 0.5000
5 Be 0.0000 0.5000 0.0000
6 Be 0.5000 0.0000 0.5000
7 O 0.1250 0.8750 0.2500
8 O 0.8750 0.1250 0.7500

Entry 7:
# Sr2TaRh

A geometry-optimized Sr2TaRh structure (PBE-GGA, the Alexandria database).

Formation energy ... 0.773 eV/atom
Electronic total energy ... -4.8686 eV/atom
Calculated volume ... 96.7 Å³/cell
Mass density ... 7.9 g cm⁻³
ΔE to the lowest computed polymorph ... 669 meV/atom

a b c (Å): 5.8954 5.8954 3.2075
angles (deg): 90.00 90.00 119.89
Positions (direct):
1 Sr 0.0000 0.5000 0.0000
2 Sr 0.5000 0.0000 0.0000
3 Ta 0.0000 0.0000 0.5000
4 Rh 0.5000 0.5000 0.5000

Entry 8:
# Ac2Co3CuGe4

A geometry-optimized Ac2Co3CuGe4 structure (PBE-GGA, the Alexandria database).

Formation energy ... -0.447 eV/atom
Electronic total energy ... -5.6569 eV/atom
Calculated volume ... 184.3 Å³/cell
Mass density ... 8.9 g cm⁻³

a b c (Å): 4.3125 4.3125 9.9072
angles (deg): 90.00 90.00 90.00
Positions (direct):
1 Ac 0.0000 0.5000 0.2488
2 Ac 0.5000 0.0000 0.7512
3 Co 0.0000 0.5000 0.8786
4 Co 0.5000 0.0000 0.1214
5 Co 0.5000 0.5000 0.5000
6 Cu 0.0000 0.0000 0.5000
7 Ge 0.0000 0.0000 0.0000
8 Ge 0.0000 0.5000 0.6296
9 Ge 0.5000 0.0000 0.3704
10 Ge 0.5000 0.5000 0.0000